## one
Entry from Alexandria: a relaxed structure of Ba2ScRu (PBE).

Geometry as POSCAR:
```
Ba2ScRu
1.0
-3.2344 0.8510 5.3247
-6.0401 -1.7480 0.0091
5.5049 -2.5443 -1.6616
Ba Ru Sc
2 1 1
direct
0.0000 0.0000 0.0000
0.5000 0.5000 0.0000
0.2500 0.7500 0.5000
0.7500 0.2500 0.5000
```

Computed properties:
theoretical density	6.07	g/cm3
SG	No. 139

=====

## two
Entry from Alexandria: a relaxed structure of Ba2ScRu (PBE).

Geometry as POSCAR:
```
Ba2ScRu
1.0
4.4739 -0.0665 0.0398
2.2930 3.8421 0.0398
2.1608 1.2056 9.1098
Ba Ru Sc
2 1 1
direct
0.9640 0.9640 0.1058
0.7850 0.7850 0.6462
0.5428 0.5428 0.3721
0.2081 0.2081 0.3759
```

Computed properties:
theoretical density	4.43	g/cm3
SG	No. 8

=====

## three
Entry from Alexandria: a relaxed structure of Ba2ScRu (PBE).

Geometry as POSCAR:
```
Ba2ScRu
1.0
9.7501 0.0175 0.0297
9.1225 3.4415 0.0297
0.9441 0.1730 4.2060
Ba Ru Sc
2 1 1
direct
0.1020 0.1020 0.8984
0.3980 0.3980 0.6016
0.7500 0.7500 0.7500
0.2500 0.2500 0.2500
```

Computed properties:
theoretical density	4.98	g/cm3
SG	No. 71

=====

It turns out two is the most stable, with the second structure 70 meV/atom higher.

=====

## one
Entry from Alexandria: a relaxed structure of BaScRu (PBE).

Geometry as POSCAR:
```
BaScRu
1.0
-3.6956 -1.5628 1.3490
1.7112 -1.4220 -3.6013
2.8392 -4.1389 2.9833
Ba Ru Sc
1 1 1
direct
0.0000 0.0000 0.0557
0.6667 0.3333 0.4107
0.3333 0.6667 0.5337
```

Computed properties:
theoretical density	5.19	g/cm3
SG	No. 156

=====

## two
Entry from Alexandria: a relaxed structure of BaScRu (PBE).

Geometry as POSCAR:
```
BaScRu
1.0
-0.4783 2.6763 -3.9348
2.6070 -0.9779 -3.8886
-2.1004 -1.8227 -3.8910
Ba Ru Sc
1 1 1
direct
0.2500 0.2500 0.2500
0.0000 0.0000 0.0000
0.5000 0.5000 0.5000
```

Computed properties:
theoretical density	6.08	g/cm3
SG	No. 216

=====

It turns out one is the most stable, with the second structure 1052 meV/atom higher.

=====

## one
Entry from Alexandria: a relaxed structure of BaScRu (PBE).

Geometry as POSCAR:
```
BaScRu
1.0
-2.8150 -3.8945 -0.9220
1.9982 -4.4595 -0.2473
-0.8790 -3.2738 3.5286
Ba Ru Sc
1 1 1
direct
0.5000 0.5000 0.5000
0.2500 0.2500 0.2500
0.0000 0.0000 0.0000
```

Computed properties:
theoretical density	5.68	g/cm3
SG	No. 216

=====

## two
Entry from Alexandria: a relaxed structure of BaScRu (PBE).

Geometry as POSCAR:
```
BaScRu
1.0
7.0951 -0.0465 0.0497
6.2611 3.3354 0.0394
0.8339 0.2112 3.3754
Ba Ru Sc
1 1 1
direct
0.9743 0.9743 0.0257
0.3064 0.3064 0.6936
0.7193 0.7193 0.2807
```

Computed properties:
theoretical density	5.83	g/cm3
SG	No. 107

=====

It turns out two is the most stable, with the second structure 287 meV/atom higher.

=====

## one
Entry from Alexandria: a relaxed structure of BaRuSe2 (PBE).

Geometry as POSCAR:
```
BaRuSe2
1.0
-0.2292 3.0116 -2.7993
-3.1064 -2.6782 0.3686
-3.2682 4.4929 5.1013
Ba Ru Se
1 1 2
direct
0.5000 0.5000 0.2500
0.5000 0.5000 0.7500
0.0000 0.0000 0.9470
0.0000 0.0000 0.5530
```

Computed properties:
theoretical density	5.92	g/cm3
SG	No. 65

=====

## two
Entry from Alexandria: a relaxed structure of BaRuSe2 (PBE).

Geometry as POSCAR:
```
BaRuSe2
1.0
5.5829 0.0010 -0.0009
0.6127 5.5492 0.0009
-1.9899 -4.0118 3.3338
Ba Ru Se
1 1 2
direct
0.7500 0.2500 0.5000
0.2500 0.7500 0.5000
0.0677 0.0677 0.0000
0.4323 0.4323 0.0000
```

Computed properties:
theoretical density	6.37	g/cm3
SG	No. 71

=====

It turns out two is the most stable, with the second structure 351 meV/atom higher.